1.
The following is a DFT calculation (PBE) of crystalline Re2BPt2 at its relaxed geometry.

Lattice parameters (Å, degrees): 5.7960 5.7960 4.3239 90.00 90.00 90.00
Last column: nearest neighbours and their distance in Å.
Fractional positions:
Re 0.1524 0.3476 0.0000  2 B 2.20
Re 0.3476 0.8476 0.0000  2 B 2.20
Re 0.6524 0.1524 0.0000  2 B 2.20
Re 0.8476 0.6524 0.0000  2 B 2.20
B 0.0000 0.0000 0.0000  4 Re 2.20
B 0.5000 0.5000 0.0000  4 Re 2.20
Pt 0.1556 0.6556 0.5000  1 Pt 2.55, 6 Re 2.67-2.80
Pt 0.3444 0.1556 0.5000  1 Pt 2.55, 6 Re 2.67-2.80
Pt 0.6556 0.8444 0.5000  1 Pt 2.55, 6 Re 2.67-2.80
Pt 0.8444 0.3444 0.5000  1 Pt 2.55, 6 Re 2.67-2.80

Computed properties:
Total magnetic moment = 0.000 μB/atom
D(E_F) = 10.1 states/eV per cell
VASP energy = -8.57 eV/atom
Symmetry = P4/mbm, No. 127
Energy above the lowest structure with this stoichiometry = 0 meV/atom



2.
The following is a DFT calculation (PBE) of crystalline ReBPt2 at its relaxed geometry.

Lattice parameters (Å, degrees): 6.6806 6.6806 6.6806 136.36 136.36 63.42
Last column: nearest neighbours and their distance in Å.
Fractional positions:
Re 0.0000 0.0000 0.0000  4 Pt 2.46
Re 0.7500 0.2500 0.5000  4 Pt 2.46
B 0.2500 0.7500 0.5000  4 Pt 2.09
B 0.5000 0.5000 0.0000  4 Pt 2.09
Pt 0.1918 0.6250 0.0668  2 B 2.09
Pt 0.3750 0.4418 0.5668  2 B 2.09
Pt 0.5582 0.1250 0.9332  2 B 2.09
Pt 0.8750 0.8082 0.4332  2 B 2.09

Computed properties:
Total magnetic moment = 0.000 μB/atom
D(E_F) = 6.0 states/eV per cell
VASP energy = -7.15 eV/atom
Symmetry = I-42d, No. 122



Record order is preserved below.
Energy of formation: 0.1641; 0.6530 eV per atom